## Mn2PdO6 (PBE+U)

Data for a relaxed Mn2PdO6 crystal.

Properties
Energy = -6.50 eV/atom
V = 11.729 A^3/atom

a b c (Å): 4.5500 5.1758 5.1758
angles (deg): 120.00 90.00 90.00
Last column: nearest neighbours and their distance in Å.
Positions (direct):
1 O 0.2869 0.0000 0.3441  2 Mn 1.96, 1 Pd 2.03
2 O 0.7131 0.6559 0.0000  2 Mn 1.96, 1 Pd 2.03
3 O 0.7131 0.3441 0.3441  2 Mn 1.96, 1 Pd 2.03
4 O 0.7131 0.0000 0.6559  2 Mn 1.96, 1 Pd 2.03
5 O 0.2869 0.6559 0.6559  2 Mn 1.96, 1 Pd 2.03
6 O 0.2869 0.3441 0.0000  2 Mn 1.96, 1 Pd 2.03
7 Mn 0.5000 0.6667 0.3333  6 O 1.96
8 Mn 0.5000 0.3333 0.6667  6 O 1.96
9 Pd 0.5000 0.0000 0.0000  6 O 2.03